Record 1
# Sm3NiPt2

A relaxed structure of Sm3NiPt2 (PBE, Alexandria via LeMat-Bulk).

Unit cell a=11.6301 b=4.0799 c=11.8437 alpha=90.00 beta=90.00 gamma=90.00
With the nearest neighbours (Å) after each atom.
Space group Pnma (No. 62)
Inequivalent atoms, fractional coordinates:
Sm (0.0524, 0.2500, 0.1236) x4  5 Pt 3.00-3.06, 1 Ni 3.05
Sm (0.1236, 0.7500, 0.5551) x4  3 Ni 2.98, 5 Pt 3.02-3.22
Sm (0.2162, 0.2500, 0.8050) x4  2 Ni 2.89, 4 Pt 2.93-3.20
Ni (0.1220, 0.2500, 0.3719) x4  3 Pt 2.55-2.65
Pt (0.0084, 0.7500, 0.3080) x4  2 Ni 2.55
Pt (0.1838, 0.7500, 0.9898) x4  1 Ni 2.65

Summary:
ΔE_f = -0.90 eV/atom
Fermi-level density of states = 12.7 states/eV per cell
crystal system = orthorhombic
total magnetic moment = 0.000 μB per atom

Record 2
# Er4CoBi2

A relaxed structure of Er4CoBi2 (PBE, Alexandria via LeMat-Bulk).

Unit cell a=7.8591 b=12.0033 c=4.2872 alpha=90.00 beta=90.00 gamma=90.00
With the nearest neighbours (Å) after each atom.
Space group Pbam (No. 55)
Inequivalent atoms, fractional coordinates:
Er (0.1203, 0.1887, 0.0000) x4  1 Co 2.45
Er (0.2080, 0.9411, 0.5000) x4  2 Co 2.79
Co (0.0000, 0.0000, 0.0000) x2  2 Er 2.45
Bi (0.0815, 0.6703, 0.5000) x4  7 Er 3.16-3.40

Summary:
ΔE_f = -0.50 eV/atom
Fermi-level density of states = 9.2 states/eV per cell
E above lowest polymorph = 0.0 meV per atom
crystal system = orthorhombic
total magnetic moment = 0.000 μB per atom

Record 3
# Al2CoSb

A relaxed structure of Al2CoSb (PBE, Alexandria via LeMat-Bulk).

Unit cell a=8.5187 b=2.9826 c=6.2138 alpha=90.00 beta=111.73 gamma=90.00
With the nearest neighbours (Å) after each atom.
Space group Cm (No. 8)
Inequivalent atoms, fractional coordinates:
Al (0.0000, 0.0000, 0.0000) x2  3 Co 2.38-2.41
Al (0.1934, 0.0000, 0.7026) x2  2 Co 2.43
Co (0.2277, 0.5000, 0.0248) x2  5 Al 2.38-2.43, 2 Sb 2.60
Sb (0.3605, 0.0000, 0.3900) x2  2 Co 2.60, 1 Al 2.80

Summary:
Fermi-level density of states = 4.4 states/eV per cell
E = -4.78 eV per atom
crystal system = monoclinic
total magnetic moment = 0.054 μB per atom